[1]
The following is a DFT calculation (PBE) of an optimized crystal structure of BaTcP.

Lattice parameters (Å, degrees): 4.905 4.905 4.905 60.00 60.00 60.00
Sites, in units of the cell vectors:
1 Ba 0.500 0.500 0.500
2 Tc 0.000 0.000 0.000
3 P 0.250 0.250 0.250

Properties
E_tot, eV per atom: -5.2805
Density, g cm⁻³: 5.30
Symmetry: F-43m
Magnetic moment, μB per formula unit: 3.772
Energy of formation, meV per atom: 619

---

[2]
The following is a DFT calculation (PBE) of an optimized crystal structure of BaTcP2.

Lattice parameters (Å, degrees): 7.382 7.382 7.382 151.92 153.18 39.21
Sites, in units of the cell vectors:
1 Ba 0.704 0.204 0.500
2 P 0.005 0.005 0.000
3 P 0.343 0.843 0.500
4 Tc 0.449 0.449 0.000

Properties
E_tot, eV per atom: -6.0474
Density, g cm⁻³: 5.79
Symmetry: Imm2
Magnetic moment, μB per formula unit: 0.000
Energy of formation, meV per atom: -270